1.
Here is a geometry-optimized HoGe3Ir3 structure from Alexandria. Energies are from PBE.

a b c (Å): 7.903 7.903 7.903
angles (deg): 51.59 51.59 51.59
Fractional coordinates of all 14 atoms:
Ho1 0.172 0.172 0.172
Ho2 0.828 0.828 0.828
Ge1 0.094 0.640 0.457
Ge2 0.360 0.543 0.906
Ge3 0.457 0.094 0.640
Ge4 0.543 0.906 0.360
Ge5 0.640 0.457 0.094
Ge6 0.906 0.360 0.543
Ir1 0.044 0.308 0.818
Ir2 0.182 0.956 0.692
Ir3 0.308 0.818 0.044
Ir4 0.692 0.182 0.956
Ir5 0.818 0.044 0.308
Ir6 0.956 0.692 0.182

Values from the calculation:
Crystal system: trigonal
Offset from the most stable computed form, meV per atom: 0
Space-group type: No. 148



2.
Here is a geometry-optimized HoGe2Ir structure from Alexandria. Energies are from PBE.

a b c (Å): 3.146 3.146 28.827
angles (deg): 90.00 90.00 120.00
Fractional coordinates of all 12 atoms:
Ho1 0.000 0.000 0.000
Ho2 0.333 0.667 0.667
Ho3 0.667 0.333 0.333
Ge1 0.000 0.000 0.102
Ge2 0.000 0.000 0.898
Ge3 0.333 0.667 0.565
Ge4 0.333 0.667 0.768
Ge5 0.667 0.333 0.232
Ge6 0.667 0.333 0.435
Ir1 0.000 0.000 0.500
Ir2 0.333 0.667 0.167
Ir3 0.667 0.333 0.833

Values from the calculation:
Crystal system: trigonal
Space-group type: No. 166



3.
Here is a geometry-optimized Ho2GeIr structure from Alexandria. Energies are from PBE.

a b c (Å): 5.777 4.138 7.938
angles (deg): 90.00 110.43 90.00
Fractional coordinates of all 8 atoms:
Ho1 0.183 0.250 0.410
Ho2 0.269 0.750 0.058
Ho3 0.731 0.250 0.942
Ho4 0.817 0.750 0.590
Ge1 0.377 0.750 0.706
Ge2 0.623 0.250 0.294
Ir1 0.141 0.250 0.787
Ir2 0.859 0.750 0.213

Values from the calculation:
Crystal system: monoclinic
Space-group type: No. 11



4.
Here is a geometry-optimized Ho2Ge3Ir2 structure from Alexandria. Energies are from PBE.

a b c (Å): 9.198 9.198 7.150
angles (deg): 90.00 90.00 154.14
Fractional coordinates of all 14 atoms:
Ho1 0.060 0.940 0.750
Ho2 0.157 0.843 0.250
Ho3 0.843 0.157 0.750
Ho4 0.940 0.060 0.250
Ge1 0.226 0.774 0.750
Ge2 0.437 0.563 0.568
Ge3 0.437 0.563 0.932
Ge4 0.563 0.437 0.068
Ge5 0.563 0.437 0.432
Ge6 0.774 0.226 0.250
Ir1 0.307 0.693 0.050
Ir2 0.307 0.693 0.450
Ir3 0.693 0.307 0.550
Ir4 0.693 0.307 0.950

Values from the calculation:
Crystal system: orthorhombic
Space-group type: No. 63



5.
Here is a geometry-optimized Ho4GeIr3 structure from Alexandria. Energies are from PBE.

a b c (Å): 3.886 4.242 10.535
angles (deg): 90.00 90.00 90.00
Fractional coordinates of all 8 atoms:
Ho1 0.000 0.000 0.000
Ho2 0.000 0.500 0.278
Ho3 0.500 0.000 0.486
Ho4 0.500 0.500 0.780
Ge1 0.000 0.000 0.709
Ir1 0.000 0.500 0.565
Ir2 0.500 0.000 0.216
Ir3 0.500 0.500 0.051

Values from the calculation:
Crystal system: orthorhombic
Space-group type: No. 25



6.
Here is a geometry-optimized Ho2Ge5Ir3 structure from Alexandria. Energies are from PBE.

a b c (Å): 8.390 8.390 8.390
angles (deg): 103.91 90.81 138.20
Fractional coordinates of all 20 atoms:
Ho1 0.135 0.224 0.359
Ho2 0.365 0.724 0.089
Ho3 0.635 0.276 0.911
Ho4 0.865 0.776 0.641
Ge1 0.028 0.750 0.278
Ge2 0.097 0.663 0.760
Ge3 0.250 0.250 0.000
Ge4 0.403 0.163 0.566
Ge5 0.472 0.750 0.722
Ge6 0.528 0.250 0.278
Ge7 0.597 0.837 0.434
Ge8 0.750 0.750 0.000
Ge9 0.903 0.337 0.240
Ge10 0.972 0.250 0.722
Ir1 0.143 0.888 0.031
Ir2 0.250 0.750 0.500
Ir3 0.357 0.388 0.745
Ir4 0.643 0.612 0.255
Ir5 0.750 0.250 0.500
Ir6 0.857 0.112 0.969

Values from the calculation:
Crystal system: orthorhombic
Offset from the most stable computed form, meV per atom: 0
Space-group type: No. 72



7.
Here is a geometry-optimized HoGe12Ir4 structure from Alexandria. Energies are from PBE.

a b c (Å): 7.514 7.514 7.514
angles (deg): 109.47 109.47 109.47
Fractional coordinates of all 17 atoms:
Ho1 0.000 0.000 0.000
Ge1 0.152 0.499 0.347
Ge2 0.152 0.805 0.653
Ge3 0.195 0.347 0.848
Ge4 0.347 0.152 0.499
Ge5 0.347 0.848 0.195
Ge6 0.499 0.347 0.152
Ge7 0.501 0.653 0.848
Ge8 0.653 0.152 0.805
Ge9 0.653 0.848 0.501
Ge10 0.805 0.653 0.152
Ge11 0.848 0.195 0.347
Ge12 0.848 0.501 0.653
Ir1 0.000 0.000 0.500
Ir2 0.000 0.500 0.000
Ir3 0.500 0.000 0.000
Ir4 0.500 0.500 0.500

Values from the calculation:
Crystal system: cubic
Space-group type: No. 204



8.
Here is a geometry-optimized HoGeIr2 structure from Alexandria. Energies are from PBE.

a b c (Å): 4.305 4.305 14.055
angles (deg): 90.00 90.00 120.00
Fractional coordinates of all 12 atoms:
Ho1 0.000 0.000 0.000
Ho2 0.333 0.667 0.667
Ho3 0.667 0.333 0.333
Ge1 0.000 0.000 0.500
Ge2 0.333 0.667 0.167
Ge3 0.667 0.333 0.833
Ir1 0.000 0.000 0.211
Ir2 0.000 0.000 0.789
Ir3 0.333 0.667 0.456
Ir4 0.333 0.667 0.878
Ir5 0.667 0.333 0.122
Ir6 0.667 0.333 0.544

Values from the calculation:
Crystal system: trigonal
Space-group type: No. 166



9.
Here is a geometry-optimized LiHo2Ge3Ir4 structure from Alexandria. Energies are from PBE.

a b c (Å): 4.094 4.094 10.554
angles (deg): 90.00 90.00 90.00
Fractional coordinates of all 10 atoms:
Li1 0.000 0.000 0.000
Ho1 0.000 0.500 0.750
Ho2 0.500 0.000 0.250
Ge1 0.000 0.500 0.369
Ge2 0.500 0.000 0.631
Ge3 0.500 0.500 0.000
Ir1 0.000 0.000 0.500
Ir2 0.000 0.500 0.140
Ir3 0.500 0.000 0.860
Ir4 0.500 0.500 0.500

Values from the calculation:
Crystal system: tetragonal
Space-group type: No. 115



10.
Here is a geometry-optimized LiHoGeIr structure from Alexandria. Energies are from PBE.

a b c (Å): 6.481 6.481 6.481
angles (deg): 90.00 90.00 90.00
Fractional coordinates of all 16 atoms:
Li1 0.000 0.000 0.000
Li2 0.000 0.500 0.500
Li3 0.500 0.000 0.500
Li4 0.500 0.500 0.000
Ho1 0.250 0.250 0.250
Ho2 0.250 0.750 0.750
Ho3 0.750 0.250 0.750
Ho4 0.750 0.750 0.250
Ge1 0.250 0.250 0.750
Ge2 0.250 0.750 0.250
Ge3 0.750 0.250 0.250
Ge4 0.750 0.750 0.750
Ir1 0.000 0.000 0.500
Ir2 0.000 0.500 0.000
Ir3 0.500 0.000 0.000
Ir4 0.500 0.500 0.500

Values from the calculation:
Crystal system: cubic
Space-group type: No. 216



11.
Here is a geometry-optimized LiHo2Ge4Ir3 structure from Alexandria. Energies are from PBE.

a b c (Å): 4.230 4.230 10.122
angles (deg): 90.00 90.00 90.00
Fractional coordinates of all 10 atoms:
Li1 0.000 0.000 0.000
Ho1 0.000 0.500 0.744
Ho2 0.500 0.000 0.256
Ge1 0.000 0.000 0.500
Ge2 0.000 0.500 0.131
Ge3 0.500 0.000 0.869
Ge4 0.500 0.500 0.500
Ir1 0.000 0.500 0.371
Ir2 0.500 0.000 0.629
Ir3 0.500 0.500 0.000

Values from the calculation:
Crystal system: tetragonal
Space-group type: No. 115



12.
Here is a geometry-optimized LiHoGe2Ir structure from Alexandria. Energies are from PBE.

a b c (Å): 4.098 4.098 10.520
angles (deg): 90.00 90.00 90.00
Fractional coordinates of all 10 atoms:
Li1 0.000 0.000 0.000
Li2 0.500 0.500 0.500
Ho1 0.000 0.500 0.750
Ho2 0.500 0.000 0.250
Ge1 0.000 0.500 0.131
Ge2 0.000 0.500 0.369
Ge3 0.500 0.000 0.631
Ge4 0.500 0.000 0.869
Ir1 0.000 0.000 0.500
Ir2 0.500 0.500 0.000

Values from the calculation:
Crystal system: tetragonal
Space-group type: No. 119



13.
Here is a geometry-optimized HoLuGeIr structure from Alexandria. Energies are from PBE.

a b c (Å): 6.923 6.923 6.923
angles (deg): 90.00 90.00 90.00
Fractional coordinates of all 16 atoms:
Ho1 0.000 0.000 0.000
Ho2 0.000 0.500 0.500
Ho3 0.500 0.000 0.500
Ho4 0.500 0.500 0.000
Lu1 0.000 0.000 0.500
Lu2 0.000 0.500 0.000
Lu3 0.500 0.000 0.000
Lu4 0.500 0.500 0.500
Ge1 0.250 0.250 0.750
Ge2 0.250 0.750 0.250
Ge3 0.750 0.250 0.250
Ge4 0.750 0.750 0.750
Ir1 0.250 0.250 0.250
Ir2 0.250 0.750 0.750
Ir3 0.750 0.250 0.750
Ir4 0.750 0.750 0.250

Values from the calculation:
Crystal system: cubic
Space-group type: No. 216



14.
Here is a geometry-optimized Ho2MgGe3Ir4 structure from Alexandria. Energies are from PBE.

a b c (Å): 4.090 4.090 10.926
angles (deg): 90.00 90.00 90.00
Fractional coordinates of all 10 atoms:
Ho1 0.000 0.500 0.238
Ho2 0.500 0.000 0.762
Mg1 0.000 0.000 0.500
Ge1 0.000 0.500 0.872
Ge2 0.500 0.000 0.128
Ge3 0.500 0.500 0.500
Ir1 0.000 0.000 0.000
Ir2 0.000 0.500 0.649
Ir3 0.500 0.000 0.351
Ir4 0.500 0.500 0.000

Values from the calculation:
Crystal system: tetragonal
Space-group type: No. 115



15.
Here is a geometry-optimized HoMnGe2Ir structure from Alexandria. Energies are from PBE.

a b c (Å): 4.037 4.037 10.683
angles (deg): 90.00 90.00 90.00
Fractional coordinates of all 10 atoms:
Ho1 0.000 0.000 0.000
Ho2 0.500 0.500 0.500
Mn1 0.000 0.500 0.250
Mn2 0.500 0.000 0.750
Ge1 0.000 0.000 0.384
Ge2 0.000 0.000 0.616
Ge3 0.500 0.500 0.116
Ge4 0.500 0.500 0.884
Ir1 0.000 0.500 0.750
Ir2 0.500 0.000 0.250

Values from the calculation:
Crystal system: tetragonal
Space-group type: No. 119



16.
Here is a geometry-optimized Ho2MnGe3Ir4 structure from Alexandria. Energies are from PBE.

a b c (Å): 4.107 4.107 10.598
angles (deg): 90.00 90.00 90.00
Fractional coordinates of all 10 atoms:
Ho1 0.000 0.500 0.245
Ho2 0.500 0.000 0.755
Mn1 0.000 0.000 0.500
Ge1 0.000 0.500 0.868
Ge2 0.500 0.000 0.132
Ge3 0.500 0.500 0.500
Ir1 0.000 0.000 0.000
Ir2 0.000 0.500 0.640
Ir3 0.500 0.000 0.360
Ir4 0.500 0.500 0.000

Values from the calculation:
Crystal system: tetragonal
Space-group type: No. 115



17.
Here is a geometry-optimized Ho2NbGe3Ir4 structure from Alexandria. Energies are from PBE.

a b c (Å): 4.130 4.130 10.799
angles (deg): 90.00 90.00 90.00
Fractional coordinates of all 10 atoms:
Ho1 0.000 0.500 0.234
Ho2 0.500 0.000 0.766
Nb1 0.000 0.000 0.500
Ge1 0.000 0.500 0.870
Ge2 0.500 0.000 0.130
Ge3 0.500 0.500 0.500
Ir1 0.000 0.000 0.000
Ir2 0.000 0.500 0.644
Ir3 0.500 0.000 0.356
Ir4 0.500 0.500 0.000

Values from the calculation:
Crystal system: tetragonal
Space-group type: No. 115



18.
Here is a geometry-optimized Ho2Ni4Ge3Ir structure from Alexandria. Energies are from PBE.

a b c (Å): 3.971 3.971 10.155
angles (deg): 90.00 90.00 90.00
Fractional coordinates of all 10 atoms:
Ho1 0.000 0.500 0.250
Ho2 0.500 0.000 0.750
Ni1 0.000 0.000 0.000
Ni2 0.000 0.500 0.643
Ni3 0.500 0.000 0.357
Ni4 0.500 0.500 0.000
Ge1 0.000 0.500 0.872
Ge2 0.500 0.000 0.128
Ge3 0.500 0.500 0.500
Ir1 0.000 0.000 0.500

Values from the calculation:
Crystal system: tetragonal
Space-group type: No. 115



19.
Here is a geometry-optimized HoNiGe2Ir structure from Alexandria. Energies are from PBE.

a b c (Å): 4.083 4.083 10.266
angles (deg): 90.00 90.00 90.00
Fractional coordinates of all 10 atoms:
Ho1 0.000 0.000 0.000
Ho2 0.500 0.500 0.500
Ni1 0.000 0.500 0.750
Ni2 0.500 0.000 0.250
Ge1 0.000 0.000 0.379
Ge2 0.000 0.000 0.621
Ge3 0.500 0.500 0.121
Ge4 0.500 0.500 0.879
Ir1 0.000 0.500 0.250
Ir2 0.500 0.000 0.750

Values from the calculation:
Crystal system: tetragonal
Space-group type: No. 119



20.
Here is a geometry-optimized HoNi2Ge2Ir structure from Alexandria. Energies are from PBE.

a b c (Å): 4.682 4.682 5.286
angles (deg): 90.00 90.00 90.00
Fractional coordinates of all 6 atoms:
Ho1 0.000 0.000 0.000
Ni1 0.500 0.500 0.245
Ni2 0.500 0.500 0.755
Ge1 0.000 0.500 0.500
Ge2 0.500 0.000 0.500
Ir1 0.000 0.000 0.500

Values from the calculation:
Crystal system: tetragonal
Space-group type: No. 123



21.
Here is a geometry-optimized Ho2NiGe4Ir3 structure from Alexandria. Energies are from PBE.

a b c (Å): 4.152 4.152 10.291
angles (deg): 90.00 90.00 90.00
Fractional coordinates of all 10 atoms:
Ho1 0.000 0.500 0.249
Ho2 0.500 0.000 0.751
Ni1 0.000 0.000 0.500
Ge1 0.000 0.000 0.000
Ge2 0.000 0.500 0.630
Ge3 0.500 0.000 0.370
Ge4 0.500 0.500 0.000
Ir1 0.000 0.500 0.866
Ir2 0.500 0.000 0.134
Ir3 0.500 0.500 0.500

Values from the calculation:
Crystal system: tetragonal
Space-group type: No. 115



22.
Here is a geometry-optimized HoNiGeIr structure from Alexandria. Energies are from PBE.

a b c (Å): 4.334 3.112 10.411
angles (deg): 90.00 90.00 90.00
Fractional coordinates of all 8 atoms:
Ho1 0.000 0.000 0.000
Ho2 0.000 0.500 0.500
Ni1 0.500 0.000 0.674
Ni2 0.500 0.500 0.174
Ge1 0.500 0.000 0.362
Ge2 0.500 0.500 0.862
Ir1 0.000 0.000 0.255
Ir2 0.000 0.500 0.755

Values from the calculation:
Crystal system: orthorhombic
Space-group type: No. 38



23.
Here is a geometry-optimized Ho2NiGe3Ir4 structure from Alexandria. Energies are from PBE.

a b c (Å): 4.120 4.120 10.368
angles (deg): 90.00 90.00 90.00
Fractional coordinates of all 10 atoms:
Ho1 0.000 0.500 0.248
Ho2 0.500 0.000 0.752
Ni1 0.500 0.500 0.000
Ge1 0.000 0.000 0.000
Ge2 0.000 0.500 0.633
Ge3 0.500 0.000 0.367
Ir1 0.000 0.000 0.500
Ir2 0.000 0.500 0.866
Ir3 0.500 0.000 0.134
Ir4 0.500 0.500 0.500

Values from the calculation:
Crystal system: tetragonal
Space-group type: No. 115



| no. | ΔE_f (eV per atom) |
| --- | --- |
| 1 | -0.453 |
| 2 | 0.086 |
| 3 | -0.877 |
| 4 | -0.750 |
| 5 | -0.834 |
| 6 | -0.701 |
| 7 | -0.194 |
| 8 | -0.498 |
| 9 | -0.715 |
| 10 | -0.602 |
| 11 | -0.693 |
| 12 | -0.649 |
| 13 | -0.728 |
| 14 | -0.721 |
| 15 | -0.612 |
| 16 | -0.689 |
| 17 | -0.744 |
| 18 | -0.592 |
| 19 | -0.667 |
| 20 | 0.014 |
| 21 | -0.696 |
| 22 | -0.303 |
| 23 | -0.687 |